Li14AgHg: relaxed, GGA-PBE.

Summary:
Calculated formation energy ... -0.10 eV per atom
Calculated volume ... 295.7 Å³/f.u.
DFT total energy ... -31.61 eV/cell
Space group ... No. 38

Lattice parameters (Å, degrees): 7.852 6.136 6.136 89.60 90.00 90.00
Sites, in units of the cell vectors:
Li (0.000, 0.000, 0.000)
Li (0.000, 0.500, 0.500)
Li (0.000, 0.500, 0.999)
Li (0.000, 0.999, 0.500)
Li (0.267, 0.248, 0.248)
Li (0.267, 0.248, 0.752)
Li (0.267, 0.752, 0.248)
Li (0.267, 0.752, 0.752)
Li (0.500, 0.499, 0.999)
Li (0.500, 0.999, 0.499)
Li (0.733, 0.248, 0.248)
Li (0.733, 0.248, 0.752)
Li (0.733, 0.752, 0.248)
Li (0.733, 0.752, 0.752)
Ag (0.500, 0.000, 0.000)
Hg (0.500, 0.500, 0.500)